This record from Alexandria via LeMat-Bulk describes a relaxed LiCd2Os crystal. The functional is PBE-GGA.

Properties
The value obtained for the total energy is -3.50 eV/atom. The calculation puts the energy of formation from the pure elements at 0.99 eV per formula unit.

```
data_LiCd2Os
_chemical_formula_sum 'Li3 Cd6 Os3'
_cell_length_a 2.8768
_cell_length_b 2.8768
_cell_length_c 28.7802
_cell_angle_alpha 90.00
_cell_angle_beta 90.00
_cell_angle_gamma 120.00
_space_group_name_H-M_alt 'R -3 m'
_space_group_IT_number 166
_space_group_name_Hall '-R 3 2"'
loop_
_atom_site_label
_atom_site_type_symbol
_atom_site_fract_x
_atom_site_fract_y
_atom_site_fract_z
_atom_site_occupancy
Li1 Li 0.0000 0.0000 0.0000 1
Cd1 Cd 0.0000 0.0000 0.2506 1
Os1 Os 0.0000 0.0000 0.5000 1
```